# 1
CaYAs2Br at its PBEsol-relaxed geometry. Source: the Alexandria database, functional SCAN.

Unit cell a=5.3198 b=5.3198 c=5.4306 alpha=90.00 beta=90.00 gamma=90.00
Last column: nearest neighbours and their distance in Å.
Sites, in units of the cell vectors:
1 Ca 0.0000 0.0000 0.0000  4 Br 3.76, 8 As 3.80
2 Y 0.5000 0.5000 0.5000  4 As 2.66, 2 Br 2.72
3 As 0.0000 0.5000 0.5000  2 Y 2.66
4 As 0.5000 0.0000 0.5000  2 Y 2.66
5 Br 0.5000 0.5000 0.0000  2 Y 2.72

Spin magnetization, Bohr magnetons per cell: 0.00
Formation energy without anion corrections, meV/atom: -802
Symmetry: P4/mmm (123)
Final energy, eV per atom: -20.272
Density of states at the Fermi level, states/eV/f.u.: 1.62

=====

# 2
CaAlN2 at its PBEsol-relaxed geometry. Source: the Alexandria database, functional SCAN.

Unit cell a=3.5631 b=3.5631 c=18.1700 alpha=90.00 beta=90.00 gamma=120.00
Last column: nearest neighbours and their distance in Å.
Sites, in units of the cell vectors:
1 Ca 0.0000 0.0000 0.0000  6 N 2.42
2 Ca 0.3333 0.6667 0.6667  6 N 2.42
3 Ca 0.6667 0.3333 0.3333  6 N 2.42
4 Al 0.0000 0.0000 0.5000  2 N 1.75
5 Al 0.3333 0.6667 0.1667  2 N 1.75
6 Al 0.6667 0.3333 0.8333  2 N 1.75
7 N 0.0000 0.0000 0.4039  1 Al 1.75
8 N 0.0000 0.0000 0.5961  1 Al 1.75
9 N 0.3333 0.6667 0.0706  1 Al 1.75
10 N 0.3333 0.6667 0.2627  1 Al 1.75
11 N 0.6667 0.3333 0.7373  1 Al 1.75
12 N 0.6667 0.3333 0.9294  1 Al 1.75

Spin magnetization, Bohr magnetons per cell: 3.01
Formation energy without anion corrections, meV/atom: -226
Symmetry: R-3m (166)
Final energy, eV per atom: -9.225
Density of states at the Fermi level, states/eV/f.u.: 2.95

=====

# 3
EuFe2P2 at its PBEsol-relaxed geometry. Source: the Alexandria database, functional SCAN.

Unit cell a=3.7812 b=3.7812 c=10.0492 alpha=90.00 beta=90.00 gamma=90.00
Last column: nearest neighbours and their distance in Å.
Sites, in units of the cell vectors:
1 Eu 0.0000 0.0000 0.0000  8 P 3.03, 8 Fe 3.14
2 Eu 0.5000 0.5000 0.5000  8 P 3.03, 8 Fe 3.14
3 Fe 0.0000 0.5000 0.2500  4 P 2.18
4 Fe 0.0000 0.5000 0.7500  4 P 2.18
5 Fe 0.5000 0.0000 0.2500  4 P 2.18
6 Fe 0.5000 0.0000 0.7500  4 P 2.18
7 P 0.0000 0.0000 0.3577  4 Fe 2.18
8 P 0.0000 0.0000 0.6423  4 Fe 2.18
9 P 0.5000 0.5000 0.1423  4 Fe 2.18
10 P 0.5000 0.5000 0.8577  4 Fe 2.18

Spin magnetization, Bohr magnetons per cell: 13.81
Symmetry: I4/mmm (139)
Formation energy, eV per atom: -0.8254
Final energy, eV per atom: -22.979
Density of states at the Fermi level, states/eV/f.u.: 2.83

=====

# 4
CrNi3Br at its PBEsol-relaxed geometry. Source: the Alexandria database, functional SCAN.

Unit cell a=4.2770 b=4.2770 c=4.2770 alpha=90.00 beta=90.00 gamma=90.00
Last column: nearest neighbours and their distance in Å.
Sites, in units of the cell vectors:
1 Cr 0.0000 0.0000 0.0000  6 Ni 2.14
2 Ni 0.0000 0.0000 0.5000  2 Cr 2.14
3 Ni 0.0000 0.5000 0.0000  2 Cr 2.14
4 Ni 0.5000 0.0000 0.0000  2 Cr 2.14
5 Br 0.5000 0.5000 0.5000  12 Ni 3.02

Spin magnetization, Bohr magnetons per cell: 0.00
Formation energy without anion corrections, meV/atom: 1414
Symmetry: Pm-3m (221)
Final energy, eV per atom: -15.859
Density of states at the Fermi level, states/eV/f.u.: 5.72

=====

Question: Look up the density of states at the Fermi level of the first one.
Answer: 1.62 states/eV/f.u.

=====

Question: Look up the density of states at the Fermi level of the fourth one.
Answer: 5.72 states/eV/f.u.

=====

Question: Which of these has the highest density of states at the Fermi level?
Answer: CrNi3Br

=====

Question: Among the records above, which one has the lowest final energy?
Answer: EuFe2P2